The following is a PBE calculation of crystalline Pm5Pr2Nd at its relaxed geometry, from Alexandria.

Unit cell a=7.336 b=14.677 c=5.192 alpha=90.00 beta=90.00 gamma=90.00
Element x y z (fractional)
Pm  0.000  0.000  0.000
Pm  0.001  0.250  0.000
Pm  0.249  0.875  0.500
Pm  0.251  0.375  0.500
Pm  0.499  0.750  0.000
Pm  0.500  0.500  0.000
Pm  0.501  0.250  0.000
Pm  0.749  0.625  0.500
Pm  0.751  0.125  0.500
Pm  0.999  0.750  0.000
Pr  0.250  0.125  0.500
Pr  0.250  0.625  0.500
Pr  0.750  0.375  0.500
Pr  0.750  0.875  0.500
Nd  0.000  0.500  0.000
Nd  0.500  0.000  0.000

Results
ΔH_f (0 K) = 0.110 eV/f.u.
Mass density = 6.8 g/cm3
Energy relative to the lowest polymorph listed for this composition = 0.00 kJ/mol of atoms
Electronic total energy = -0.1744 Ha/atom
Spin magnetization = 0.000 μB/atom



The following is a PBE calculation of crystalline Ta2CoIr at its relaxed geometry, from Alexandria.

Unit cell a=3.229 b=3.229 c=5.968 alpha=90.00 beta=90.00 gamma=90.00
Element x y z (fractional)
Ta  0.000  0.000  0.000
Ta  0.500  0.500  0.308
Co  0.000  0.000  0.498
Ir  0.500  0.500  0.770

Results
ΔH_f (0 K) = -1.067 eV/f.u.
Mass density = 16.4 g/cm3
Electronic total energy = -0.3743 Ha/atom
Spin magnetization = 0.097 μB/atom



The following is a PBE calculation of crystalline PbS2Br at its relaxed geometry, from Alexandria.

Unit cell a=5.037 b=5.037 c=5.037 alpha=60.00 beta=60.00 gamma=60.00
Element x y z (fractional)
Pb  0.000  0.000  0.000
S  0.250  0.250  0.250
S  0.750  0.750  0.750
Br  0.500  0.500  0.500

Results
Mass density = 6.5 g/cm3
Energy relative to the lowest polymorph listed for this composition = 76.43 kJ/mol of atoms
Energy relative to the elements, uncorrected = 40.9 kJ/mol of atoms
Electronic total energy = -0.1097 Ha/atom
Spin magnetization = 0.000 μB/atom



The following is a PBE calculation of crystalline SrMg2 at its relaxed geometry, from Alexandria.

Unit cell a=8.027 b=8.027 c=8.027 alpha=90.00 beta=90.00 gamma=90.00
Element x y z (fractional)
Sr  0.000  0.000  0.000
Sr  0.000  0.500  0.500
Sr  0.500  0.000  0.500
Sr  0.500  0.500  0.000
Mg  0.109  0.609  0.891
Mg  0.109  0.891  0.391
Mg  0.391  0.109  0.891
Mg  0.391  0.391  0.391
Mg  0.609  0.609  0.609
Mg  0.609  0.891  0.109
Mg  0.891  0.109  0.609
Mg  0.891  0.391  0.109

Results
ΔH_f (0 K) = 1.711 eV/f.u.
Mass density = 1.7 g/cm3
Electronic total energy = -0.0387 Ha/atom
Spin magnetization = 0.000 μB/atom



The following is a PBE calculation of crystalline KYBe at its relaxed geometry, from Alexandria.

Unit cell a=5.113 b=5.113 c=5.113 alpha=60.00 beta=60.00 gamma=60.00
Element x y z (fractional)
K  0.000  0.000  0.000
Y  0.500  0.500  0.500
Be  0.250  0.250  0.250

Results
ΔH_f (0 K) = 2.847 eV/f.u.
Mass density = 2.4 g/cm3
Energy relative to the lowest polymorph listed for this composition = 44.09 kJ/mol of atoms
Electronic total energy = -0.1034 Ha/atom
Spin magnetization = 0.003 μB/atom



The following is a PBE calculation of crystalline RhPb3 at its relaxed geometry, from Alexandria.

Unit cell a=5.207 b=5.207 c=5.207 alpha=60.00 beta=60.00 gamma=60.00
Element x y z (fractional)
Rh  0.000  0.000  0.000
Pb  0.250  0.250  0.250
Pb  0.500  0.500  0.500
Pb  0.750  0.750  0.750

Results
ΔH_f (0 K) = 0.981 eV/f.u.
Mass density = 12.1 g/cm3
Electronic total energy = -0.1607 Ha/atom
Spin magnetization = 0.000 μB/atom



The following is a PBE calculation of crystalline Pr4ErTl3 at its relaxed geometry, from Alexandria.

Unit cell a=9.885 b=9.885 c=9.885 alpha=32.66 beta=32.66 gamma=32.66
Element x y z (fractional)
Pr  0.116  0.116  0.116
Pr  0.369  0.369  0.369
Pr  0.631  0.631  0.631
Pr  0.884  0.884  0.884
Er  0.500  0.500  0.500
Tl  0.000  0.000  0.000
Tl  0.238  0.238  0.238
Tl  0.762  0.762  0.762

Results
ΔH_f (0 K) = -1.922 eV/f.u.
Mass density = 8.9 g/cm3
Energy relative to the lowest polymorph listed for this composition = 0.00 kJ/mol of atoms
Electronic total energy = -0.1502 Ha/atom
Spin magnetization = 0.144 μB/atom



The following is a PBE calculation of crystalline NaCa2PmS4 at its relaxed geometry, from Alexandria.

Unit cell a=6.983 b=4.075 c=6.990 alpha=90.00 beta=108.65 gamma=90.00
Element x y z (fractional)
Na  0.000  0.000  0.000
Ca  0.000  0.500  0.500
Ca  0.500  0.000  0.500
Pm  0.500  0.500  0.000
S  0.255  0.000  0.753
S  0.261  0.500  0.256
S  0.739  0.500  0.744
S  0.745  0.000  0.247

Results
Mass density = 3.3 g/cm3
Energy relative to the elements, uncorrected = -188.5 kJ/mol of atoms
Electronic total energy = -0.1939 Ha/atom
Spin magnetization = 0.000 μB/atom



The following is a PBE calculation of crystalline Sn3BC at its relaxed geometry, from Alexandria.

Unit cell a=4.677 b=4.677 c=4.677 alpha=90.00 beta=90.00 gamma=90.00
Element x y z (fractional)
Sn  0.000  0.000  0.500
Sn  0.000  0.500  0.000
Sn  0.500  0.000  0.000
B  0.500  0.500  0.500
C  0.000  0.000  0.000

Results
ΔH_f (0 K) = 7.733 eV/f.u.
Mass density = 6.2 g/cm3
Energy relative to the lowest polymorph listed for this composition = 0.00 kJ/mol of atoms
Electronic total energy = -0.1483 Ha/atom
Spin magnetization = 0.000 μB/atom



The following is a PBE calculation of crystalline ZrGa4Ru5 at its relaxed geometry, from Alexandria.

Unit cell a=3.117 b=3.117 c=15.133 alpha=90.00 beta=90.00 gamma=90.00
Element x y z (fractional)
Zr  0.000  0.000  0.000
Ga  0.000  0.000  0.207
Ga  0.000  0.000  0.402
Ga  0.000  0.000  0.598
Ga  0.000  0.000  0.793
Ru  0.500  0.500  0.110
Ru  0.500  0.500  0.304
Ru  0.500  0.500  0.500
Ru  0.500  0.500  0.696
Ru  0.500  0.500  0.890

Results
ΔH_f (0 K) = -3.574 eV/f.u.
Mass density = 9.9 g/cm3
Electronic total energy = -0.2595 Ha/atom
Spin magnetization = 0.000 μB/atom



The following is a PBE calculation of crystalline Na3PmEr2Te6 at its relaxed geometry, from Alexandria.

Unit cell a=7.691 b=7.691 c=7.990 alpha=99.24 beta=99.24 gamma=120.01
Element x y z (fractional)
Na  0.000  0.000  0.000
Na  0.336  0.664  0.000
Na  0.664  0.336  0.000
Pm  0.500  0.500  0.500
Er  0.167  0.833  0.500
Er  0.833  0.167  0.500
Te  0.081  0.422  0.267
Te  0.236  0.236  0.732
Te  0.422  0.081  0.267
Te  0.578  0.919  0.733
Te  0.764  0.764  0.268
Te  0.919  0.578  0.733

Results
Mass density = 5.6 g/cm3
Energy relative to the elements, uncorrected = -126.5 kJ/mol of atoms
Electronic total energy = -0.1605 Ha/atom
Spin magnetization = 0.000 μB/atom



The following is a PBE calculation of crystalline La2Sm4Tm at its relaxed geometry, from Alexandria.

Unit cell a=7.633 b=7.633 c=9.396 alpha=106.53 beta=106.53 gamma=102.55
Element x y z (fractional)
La  0.116  0.884  0.500
La  0.579  0.847  0.568
La  0.847  0.579  0.068
La  0.884  0.116  0.000
Sm  0.161  0.404  0.428
Sm  0.312  0.547  0.145
Sm  0.404  0.161  0.928
Sm  0.438  0.697  0.861
Sm  0.547  0.312  0.645
Sm  0.697  0.438  0.361
Sm  0.730  0.980  0.282
Sm  0.980  0.730  0.782
Tm  0.013  0.278  0.715
Tm  0.278  0.013  0.215

Results
ΔH_f (0 K) = 0.643 eV/f.u.
Mass density = 7.3 g/cm3
Energy relative to the lowest polymorph listed for this composition = 0.00 kJ/mol of atoms
Electronic total energy = -0.1709 Ha/atom
Spin magnetization = 0.000 μB/atom



Repeat the fourth record exactly.
The following is a PBE calculation of crystalline SrMg2 at its relaxed geometry, from Alexandria.

Unit cell a=8.027 b=8.027 c=8.027 alpha=90.00 beta=90.00 gamma=90.00
Element x y z (fractional)
Sr  0.000  0.000  0.000
Sr  0.000  0.500  0.500
Sr  0.500  0.000  0.500
Sr  0.500  0.500  0.000
Mg  0.109  0.609  0.891
Mg  0.109  0.891  0.391
Mg  0.391  0.109  0.891
Mg  0.391  0.391  0.391
Mg  0.609  0.609  0.609
Mg  0.609  0.891  0.109
Mg  0.891  0.109  0.609
Mg  0.891  0.391  0.109

Results
ΔH_f (0 K) = 1.711 eV/f.u.
Mass density = 1.7 g/cm3
Electronic total energy = -0.0387 Ha/atom
Spin magnetization = 0.000 μB/atom